[1]
DFT (PBE) results for an optimized crystal structure of ThNiPb.

a = 4.5910 Å, b = 4.5910 Å, c = 3.8996 Å
α = 90.00°, β = 90.00°, γ = 120.00°
Closest atoms and distances in Å follow each position.
Sites, in units of the cell vectors:
Th1 0.0000 0.0000 0.0000  6 Pb 3.29, 6 Ni 3.29
Ni1 0.6667 0.3333 0.5000  3 Pb 2.65
Pb1 0.3333 0.6667 0.5000  3 Ni 2.65

Computed properties:
The final energy comes out at -5.9071 eV/atom. For the density of states at the Fermi level, the calculation gives 1.103 states/eV per atom. The energy of formation is -0.2706 eV per atom. The space group is No. 187.

---

[2]
DFT (PBE) results for an optimized crystal structure of Co2TePdN.

a = 3.8584 Å, b = 3.8584 Å, c = 4.5507 Å
α = 90.00°, β = 90.00°, γ = 90.00°
Closest atoms and distances in Å follow each position.
Sites, in units of the cell vectors:
Co1 0.0000 0.5000 0.0000  2 N 1.93
Co2 0.5000 0.0000 0.0000  2 N 1.93
Te1 0.0000 0.0000 0.5000  4 Pd 2.73, 8 Co 2.98
Pd1 0.5000 0.5000 0.5000  2 N 2.28
N1 0.5000 0.5000 0.0000  4 Co 1.93

Computed properties:
The final energy comes out at -5.9114 eV/atom. For the density of states at the Fermi level, the calculation gives 0.636 states/eV per atom. The value obtained for the formation energy without anion corrections is 0.26 eV per atom. The space group is No. 123.

---

[3]
DFT (PBE) results for an optimized crystal structure of AlSb2Pb.

a = 5.3080 Å, b = 5.3080 Å, c = 5.3080 Å
α = 60.00°, β = 60.00°, γ = 60.00°
Closest atoms and distances in Å follow each position.
Sites, in units of the cell vectors:
Al1 0.0000 0.0000 0.0000  4 Sb 3.25, 4 Pb 3.25
Sb1 0.5000 0.5000 0.5000  4 Sb 3.25, 4 Pb 3.25
Sb2 0.7500 0.7500 0.7500  4 Sb 3.25, 4 Al 3.25
Pb1 0.2500 0.2500 0.2500  4 Sb 3.25, 4 Al 3.25

Computed properties:
The final energy comes out at -3.6873 eV/atom. For the density of states at the Fermi level, the calculation gives 0.250 states/eV per atom. The value obtained for the formation energy without anion corrections is 0.24 eV per atom. The space group is No. 216. The calculation puts the energy above the most stable polymorph in this dataset at 193 meV/atom.

---

[4]
DFT (PBE) results for an optimized crystal structure of Ac3PaRh3.

a = 10.2957 Å, b = 10.2957 Å, c = 10.2957 Å
α = 109.48°, β = 109.48°, γ = 109.46°
Closest atoms and distances in Å follow each position.
Sites, in units of the cell vectors:
Ac1 0.1125 0.3688 0.4936  4 Rh 2.91-3.14
Ac2 0.1188 0.1252 0.7562  4 Rh 2.91-3.14
Ac3 0.1189 0.6189 0.2378  4 Rh 2.90-3.14
Ac4 0.3689 0.3625 0.2438  4 Rh 2.91-3.14
Ac5 0.3689 0.6311 0.0000  4 Rh 2.90-3.14
Ac6 0.3811 0.1248 0.4936  4 Rh 2.91-3.14
Ac7 0.3811 0.8811 0.7622  4 Rh 2.90-3.14
Ac8 0.6311 0.3689 0.0000  4 Rh 2.90-3.14
Ac9 0.6312 0.8875 0.5064  4 Rh 2.91-3.14
Ac10 0.6375 0.6311 0.7562  4 Rh 2.91-3.14
Ac11 0.8752 0.6189 0.5064  4 Rh 2.91-3.14
Ac12 0.8748 0.8812 0.2438  4 Rh 2.91-3.14
Pa1 0.1251 0.8749 0.0000  6 Rh 2.81
Pa2 0.6249 0.1249 0.2499  6 Rh 2.81
Pa3 0.8749 0.1251 0.0000  6 Rh 2.81
Pa4 0.8751 0.3751 0.7501  6 Rh 2.81
Rh1 0.0972 0.3614 0.9864  2 Pa 2.81, 4 Ac 2.90-3.14
Rh2 0.1110 0.1110 0.2220  2 Pa 2.81, 4 Ac 2.91-3.14
Rh3 0.1114 0.6250 0.7642  2 Pa 2.81, 4 Ac 2.90-3.14
Rh4 0.3750 0.1108 0.0136  2 Pa 2.81, 4 Ac 2.90-3.14
Rh5 0.3750 0.8886 0.2358  2 Pa 2.81, 4 Ac 2.90-3.14
Rh6 0.6390 0.3610 0.5000  2 Pa 2.81, 4 Ac 2.91-3.14
Rh7 0.6386 0.9028 0.0136  2 Pa 2.81, 4 Ac 2.90-3.14
Rh8 0.6528 0.1392 0.7642  2 Pa 2.81, 4 Ac 2.90-3.14
Rh9 0.8610 0.1390 0.5000  2 Pa 2.81, 4 Ac 2.91-3.14
Rh10 0.8608 0.3472 0.2358  2 Pa 2.81, 4 Ac 2.90-3.14
Rh11 0.8892 0.6250 0.9864  2 Pa 2.81, 4 Ac 2.90-3.14
Rh12 0.8890 0.8890 0.7780  2 Pa 2.81, 4 Ac 2.91-3.14

Computed properties:
The final energy comes out at -6.9030 eV/atom. For the density of states at the Fermi level, the calculation gives 0.989 states/eV per atom. The energy of formation is -0.6350 eV per atom. The space group is No. 98.

---

[5]
DFT (PBE) results for an optimized crystal structure of Mn4CuAg.

a = 4.7593 Å, b = 4.7593 Å, c = 4.7593 Å
α = 60.00°, β = 60.00°, γ = 60.00°
Closest atoms and distances in Å follow each position.
Sites, in units of the cell vectors:
Mn1 0.3757 0.3757 0.3757  6 Mn 2.37-2.39
Mn2 0.3757 0.3757 0.8729  6 Mn 2.37-2.39
Mn3 0.3757 0.8729 0.3757  6 Mn 2.37-2.39
Mn4 0.8729 0.3757 0.3757  6 Mn 2.37-2.39
Cu1 0.7500 0.7500 0.7500  12 Mn 2.79, 4 Ag 2.91
Ag1 0.0000 0.0000 0.0000  12 Mn 2.79, 4 Cu 2.91

Computed properties:
The final energy comes out at -6.7931 eV/atom. For the density of states at the Fermi level, the calculation gives 1.403 states/eV per atom. The energy of formation is 0.4779 eV per atom. The space group is No. 216.

---

[6]
DFT (PBE) results for an optimized crystal structure of BaLaZn2Ru.

a = 5.2007 Å, b = 5.2007 Å, c = 5.0464 Å
α = 90.00°, β = 90.00°, γ = 90.00°
Closest atoms and distances in Å follow each position.
Sites, in units of the cell vectors:
Ba1 0.0000 0.0000 0.0000  8 Zn 3.62, 4 La 3.68
La1 0.5000 0.5000 0.0000  2 Ru 2.52
Zn1 0.0000 0.5000 0.5000  2 Ru 2.60
Zn2 0.5000 0.0000 0.5000  2 Ru 2.60
Ru1 0.5000 0.5000 0.5000  2 La 2.52, 4 Zn 2.60

Computed properties:
The final energy comes out at -3.8949 eV/atom. For the density of states at the Fermi level, the calculation gives 0.703 states/eV per atom. The energy of formation is -0.1601 eV per atom. The space group is No. 123. The calculation puts the energy above the most stable polymorph in this dataset at 0 meV/atom.

---

[7]
DFT (PBE) results for an optimized crystal structure of CsTcBi3.

a = 6.1083 Å, b = 6.1083 Å, c = 6.1083 Å
α = 90.00°, β = 90.00°, γ = 90.00°
Closest atoms and distances in Å follow each position.
Sites, in units of the cell vectors:
Cs1 0.0000 0.0000 0.0000  6 Bi 3.05
Tc1 0.5000 0.5000 0.5000  12 Bi 4.32
Bi1 0.0000 0.0000 0.5000  2 Cs 3.05
Bi2 0.0000 0.5000 0.0000  2 Cs 3.05
Bi3 0.5000 0.0000 0.0000  2 Cs 3.05

Computed properties:
The final energy comes out at -2.0848 eV/atom. For the density of states at the Fermi level, the calculation gives 1.633 states/eV per atom. The energy of formation is 2.4877 eV per atom. The space group is No. 221. The calculation puts the energy above the most stable polymorph in this dataset at 2143 meV/atom.

---

[8]
DFT (PBE) results for an optimized crystal structure of Rb3Dy2MgTe6.

a = 7.7086 Å, b = 7.7086 Å, c = 9.0333 Å
α = 98.19°, β = 98.19°, γ = 120.01°
Closest atoms and distances in Å follow each position.
Sites, in units of the cell vectors:
Rb1 0.0000 0.0000 0.0000  6 Te 3.66-3.70
Rb2 0.3315 0.6685 0.0000  6 Te 3.66-3.69
Rb3 0.6685 0.3315 0.0000  6 Te 3.66-3.69
Dy1 0.1664 0.8336 0.5000  6 Te 3.10
Dy2 0.8336 0.1664 0.5000  6 Te 3.10
Mg1 0.5000 0.5000 0.5000  6 Te 3.05-3.06
Te1 0.1064 0.4346 0.3035  1 Mg 3.05, 2 Dy 3.10
Te2 0.2374 0.2374 0.6976  1 Mg 3.06, 2 Dy 3.10
Te3 0.4346 0.1064 0.3035  1 Mg 3.05, 2 Dy 3.10
Te4 0.5654 0.8936 0.6965  1 Mg 3.05, 2 Dy 3.10
Te5 0.7626 0.7626 0.3024  1 Mg 3.06, 2 Dy 3.10
Te6 0.8936 0.5654 0.6965  1 Mg 3.05, 2 Dy 3.10

Computed properties:
The final energy comes out at -3.8592 eV/atom. For the density of states at the Fermi level, the calculation gives 0.599 states/eV per atom. The value obtained for the formation energy without anion corrections is -1.15 eV per atom. The space group is No. 12.